1.
First-principles (PBE) data for Li5ZnPd6 after structural relaxation, as listed in Alexandria via LeMat-Bulk.

## Properties
- DFT total energy: -47.6 eV for the cell shown
- SG: Immm, No. 71
- Total magnetization: 0.000 μB/cell
- Fermi-level density of states: 4.29 states/eV per cell

Cell and atoms, written as CIF:
```
data_Li5ZnPd6
_cell_length_a 4.247
_cell_length_b 6.041
_cell_length_c 7.347
_cell_angle_alpha 114.27
_cell_angle_beta 106.80
_cell_angle_gamma 90.00
_symmetry_space_group_name_H-M 'P 1'
_symmetry_Int_Tables_number 1
_symmetry_space_group_name_Hall 'P 1'
loop_
_atom_site_label
_atom_site_fract_x
_atom_site_fract_y
_atom_site_fract_z
Zn1 0.000 0.000 0.000
Pd1 0.167 0.419 0.334
Pd2 0.167 0.915 0.334
Pd3 0.500 0.254 0.000
Pd4 0.500 0.746 0.000
Pd5 0.833 0.085 0.666
Pd6 0.833 0.581 0.666
Li1 0.336 0.836 0.671
Li2 0.668 0.668 0.336
Li3 0.000 0.500 0.000
Li4 0.332 0.332 0.664
Li5 0.664 0.164 0.329
```


2.
First-principles (PBE) data for Li3Zn4Pd after structural relaxation, as listed in Alexandria via LeMat-Bulk.

## Properties
- DFT total energy: -36.8 eV for the cell shown
- SG: Pmma, No. 51
- Total magnetization: 0.000 μB/cell
- Fermi-level density of states: 5.22 states/eV per cell

Cell and atoms, written as CIF:
```
data_Li3Zn4Pd
_cell_length_a 4.715
_cell_length_b 5.504
_cell_length_c 8.911
_cell_angle_alpha 90.00
_cell_angle_beta 90.00
_cell_angle_gamma 90.00
_symmetry_space_group_name_H-M 'P 1'
_symmetry_Int_Tables_number 1
_symmetry_space_group_name_Hall 'P 1'
loop_
_atom_site_label
_atom_site_fract_x
_atom_site_fract_y
_atom_site_fract_z
Zn1 0.500 0.746 0.000
Zn2 0.500 0.746 0.500
Zn3 0.500 0.254 0.000
Zn4 0.500 0.254 0.500
Zn5 0.147 0.749 0.750
Zn6 0.853 0.749 0.250
Zn7 0.853 0.251 0.250
Zn8 0.147 0.251 0.750
Pd1 0.000 0.500 0.000
Pd2 0.000 0.500 0.500
Li1 0.000 0.000 0.000
Li2 0.000 0.000 0.500
Li3 0.647 0.000 0.750
Li4 0.353 0.000 0.250
Li5 0.659 0.500 0.750
Li6 0.341 0.500 0.250
```


3.
First-principles (PBE) data for Li5Zn3Pd after structural relaxation, as listed in Alexandria via LeMat-Bulk.

## Properties
- DFT total energy: -38.3 eV for the cell shown
- SG: C2/m, No. 12
- Total magnetization: 0.000 μB/cell
- Fermi-level density of states: 7.99 states/eV per cell

Cell and atoms, written as CIF:
```
data_Li5Zn3Pd
_cell_length_a 5.913
_cell_length_b 5.913
_cell_length_c 9.983
_cell_angle_alpha 84.19
_cell_angle_beta 84.19
_cell_angle_gamma 81.75
_symmetry_space_group_name_H-M 'P 1'
_symmetry_Int_Tables_number 1
_symmetry_space_group_name_Hall 'P 1'
loop_
_atom_site_label
_atom_site_fract_x
_atom_site_fract_y
_atom_site_fract_z
Li1 0.982 0.392 0.337
Li2 0.320 0.680 0.000
Li3 0.729 0.729 0.150
Li4 0.460 0.460 0.341
Li5 0.540 0.540 0.659
Li6 0.271 0.271 0.850
Li7 0.392 0.982 0.337
Li8 0.680 0.320 0.000
Li9 0.018 0.608 0.663
Li10 0.608 0.018 0.663
Zn1 0.753 0.753 0.883
Zn2 0.742 0.742 0.431
Zn3 0.000 0.000 0.000
Zn4 0.000 0.000 0.500
Zn5 0.247 0.247 0.117
Zn6 0.258 0.258 0.569
Pd1 0.019 0.019 0.749
Pd2 0.981 0.981 0.251
```


| no. | energy of formation from the pure elements (meV per atom) |
| --- | --- |
| 1 | -469.0 |
| 2 | -296.8 |
| 3 | -63.7 |